DFT (GGA-PBE) results for crystalline Y2MnTe at its relaxed geometry.

ΔE_f (raw) = 12.8 kJ per mole of atoms
Total magnetization = 0.000 μB/atom

a b c (Å): 6.3828 6.3828 6.3828
angles (deg): 104.66 104.66 119.59
Sites, in units of the cell vectors:
Y  0.0669  0.6250  0.9419
Y  0.3750  0.3169  0.4419
Y  0.6831  0.1250  0.0581
Y  0.8750  0.9331  0.5581
Mn  0.0000  0.0000  0.0000
Mn  0.7500  0.2500  0.5000
Te  0.2500  0.7500  0.5000
Te  0.5000  0.5000  0.0000